The following is a DFT calculation (GGA-PBE) of PmP2IrRu after structural relaxation.

Values from the calculation:
density: 10.219 g/cm³
calculated volume: 16.26 Å³ per atom
symmetry: No. 119
total energy: -38.49 eV for the cell shown

a = 4.0404 Å, b = 4.0404 Å, c = 5.7408 Å
α = 110.60°, β = 110.60°, γ = 90.00°
With the nearest neighbours (Å) after each atom.
Positions (direct):
1 Pm 0.0000 0.0000 0.0000  8 P 3.10, 4 Ru 3.21, 4 Ir 3.21
2 P 0.6207 0.6207 0.2414  2 Ru 2.40, 2 Ir 2.40, 1 P 2.40
3 P 0.3793 0.3793 0.7586  2 Ru 2.40, 2 Ir 2.40, 1 P 2.40
4 Ir 0.7500 0.2500 0.5000  4 P 2.40
5 Ru 0.2500 0.7500 0.5000  4 P 2.40